No. 1
Density functional theory data (PBE-GGA) for a relaxed structure of Y2FeAu.

Calculated values
VASP energy   -75.22 eV per cell
Size of the total moment   1.0 μB/f.u.
E_form   -0.101 eV/atom

CIF file:
```
data_Y2FeAu
_cell_length_a 3.7737
_cell_length_b 3.7737
_cell_length_c 23.0552
_cell_angle_alpha 90.00
_cell_angle_beta 90.00
_cell_angle_gamma 120.00
_symmetry_space_group_name_H-M 'R -3 m'
_symmetry_Int_Tables_number 166
_symmetry_space_group_name_Hall '-R 3 2"'
loop_
_atom_site_label
_atom_site_fract_x
_atom_site_fract_y
_atom_site_fract_z
Y1 0.0000 0.0000 0.2412
Fe1 0.0000 0.0000 0.5000
Au1 0.0000 0.0000 0.0000
```

No. 2
Density functional theory data (PBE-GGA) for a relaxed structure of PrTmBeAl.

Calculated values
VASP energy   -68.03 eV per cell
Size of the total moment   0.0 μB/f.u.
E_form   -0.072 eV/atom

CIF file:
```
data_PrTmBeAl
_cell_length_a 7.154
_cell_length_b 7.154
_cell_length_c 7.154
_cell_angle_alpha 90.00
_cell_angle_beta 90.00
_cell_angle_gamma 90.00
_symmetry_space_group_name_H-M 'F -4 3 m'
_symmetry_Int_Tables_number 216
_symmetry_space_group_name_Hall 'F -4 2 3'
loop_
_atom_site_label
_atom_site_fract_x
_atom_site_fract_y
_atom_site_fract_z
Pr1 0.000 0.000 0.000
Tm1 0.000 0.000 0.500
Be1 0.250 0.250 0.250
Al1 0.250 0.250 0.750
```